No. 1
Er2LuSe PBE optimized geometry; ΔE_f (raw) = -191 kJ/mol of formula units; E above lowest polymorph = 0.175 eV per atom
1.0
1.826 1.054 10.236
-1.826 1.054 10.236
0.000 -2.109 10.236
Er Lu Se
2 1 1
direct
0.107 0.107 0.107
0.893 0.893 0.893
0.000 0.000 0.000
0.500 0.500 0.500


No. 2
Er2LuSe PBE optimized geometry; ΔE_f (raw) = -259 kJ/mol of formula units; E above lowest polymorph = 0.000 eV per atom
1.0
3.547 0.000 0.000
0.000 3.547 0.000
0.000 0.000 8.442
Er Lu Se
2 1 1
direct
0.000 0.000 0.211
0.000 0.000 0.789
0.500 0.500 0.500
0.500 0.500 0.000


No. 3
ErLuSe PBE optimized geometry; ΔE_f (raw) = -272 kJ/mol of formula units; E above lowest polymorph = 0.130 eV per atom
1.0
-1.774 1.774 5.969
1.774 -1.774 5.969
1.774 1.774 -5.969
Er Lu Se
1 1 1
direct
0.000 0.000 0.000
0.704 0.704 0.000
0.350 0.350 0.000


No. 4
ErLuSe2 PBE optimized geometry; ΔE_f (raw) = -634 kJ/mol of formula units
1.0
2.006 1.158 6.543
-2.006 1.158 6.543
0.000 -2.316 6.543
Er Lu Se
1 1 2
direct
0.000 0.000 0.000
0.500 0.500 0.500
0.248 0.248 0.248
0.752 0.752 0.752


No. 5
ErLuSe PBE optimized geometry; ΔE_f (raw) = -309 kJ/mol of formula units; E above lowest polymorph = 0.000 eV per atom
1.0
3.786 0.000 0.000
-1.893 3.279 0.000
0.000 0.000 6.422
Er Lu Se
1 1 1
direct
0.000 0.000 0.000
0.333 0.667 0.567
0.667 0.333 0.287


No. 6
ErLuSi PBE optimized geometry; ΔE_f (raw) = -106 kJ/mol of formula units; E above lowest polymorph = 0.074 eV per atom
1.0
-1.681 1.681 6.388
1.681 -1.681 6.388
1.681 1.681 -6.388
Er Lu Si
1 1 1
direct
0.000 0.000 0.000
0.721 0.721 0.000
0.359 0.359 0.000


No. 7
ErLuSi PBE optimized geometry; ΔE_f (raw) = -128 kJ/mol of formula units; E above lowest polymorph = 0.000 eV per atom
1.0
0.000 3.364 3.364
3.364 0.000 3.364
3.364 3.364 0.000
Er Lu Si
1 1 1
direct
0.000 0.000 0.000
0.500 0.500 0.500
0.250 0.250 0.250


No. 8
ErLuSi2 PBE optimized geometry; ΔE_f (raw) = -167 kJ/mol of formula units
1.0
1.876 1.083 7.544
-1.876 1.083 7.544
0.000 -2.166 7.544
Er Lu Si
1 1 2
direct
0.000 0.000 0.000
0.500 0.500 0.500
0.249 0.249 0.249
0.751 0.751 0.751


No. 9
SmErLu PBE optimized geometry; formation energy from the elements = 0.03 eV per atom; E above lowest polymorph = 0.000 eV per atom
1.0
-1.763 1.763 7.516
1.763 -1.763 7.516
1.763 1.763 -7.516
Sm Er Lu
1 1 1
direct
0.000 0.000 0.000
0.331 0.331 0.000
0.668 0.668 0.000


No. 10
SmErLu PBE optimized geometry; formation energy from the elements = 0.08 eV per atom; E above lowest polymorph = 0.054 eV per atom
1.0
5.602 0.000 0.000
-2.801 4.851 0.000
0.000 0.000 3.427
Sm Er Lu
1 1 1
direct
0.000 0.000 0.000
0.667 0.333 0.501
0.333 0.667 0.499


No. 11
TbSmErLu PBE optimized geometry; formation energy from the elements = 0.11 eV per atom
1.0
0.000 3.989 3.989
3.989 0.000 3.989
3.989 3.989 0.000
Tb Sm Er Lu
1 1 1 1
direct
0.000 0.000 0.000
0.500 0.500 0.500
0.250 0.250 0.250
0.750 0.750 0.750


No. 12
SmErLuTl PBE optimized geometry; formation energy from the elements = -0.04 eV per atom
1.0
0.000 3.859 3.859
3.859 0.000 3.859
3.859 3.859 0.000
Sm Er Lu Tl
1 1 1 1
direct
0.000 0.000 0.000
0.500 0.500 0.500
0.250 0.250 0.250
0.750 0.750 0.750


| no. | density of states at the Fermi level (states/eV/cell) |
| --- | --- |
| 1 | 4.8 |
| 2 | 4.4 |
| 3 | 2.6 |
| 4 | 1.9 |
| 5 | 3.8 |
| 6 | 2.1 |
| 7 | 2.8 |
| 8 | 3.2 |
| 9 | 4.4 |
| 10 | 4.8 |
| 11 | 6.9 |
| 12 | 6.2 |